1.
Below is GaB after structural relaxation, with properties calculated at the PBE-GGA level.

```
data_GaB
_cell_length_a 5.772
_cell_length_b 5.772
_cell_length_c 3.455
_cell_angle_alpha 90.00
_cell_angle_beta 90.00
_cell_angle_gamma 90.00
_symmetry_space_group_name_H-M 'P 42/m n m'
_symmetry_Int_Tables_number 136
_symmetry_space_group_name_Hall '-P 4n 2n'
loop_
_atom_site_label
_atom_site_type_symbol
_atom_site_fract_x
_atom_site_fract_y
_atom_site_fract_z
Ga1 Ga 0.248 0.248 0.000
B1 B 0.100 0.100 0.500
```

Properties
VASP energy: -35.9 eV per cell
relative energy among the computed polymorphs: 107 meV/atom


2.
Below is GaB4 after structural relaxation, with properties calculated at the PBE-GGA level.

```
data_GaB4
_cell_length_a 4.089
_cell_length_b 4.089
_cell_length_c 4.089
_cell_angle_alpha 90.00
_cell_angle_beta 90.00
_cell_angle_gamma 90.00
_symmetry_space_group_name_H-M 'P m -3 m'
_symmetry_Int_Tables_number 221
_symmetry_space_group_name_Hall '-P 4 2 3'
loop_
_atom_site_label
_atom_site_type_symbol
_atom_site_fract_x
_atom_site_fract_y
_atom_site_fract_z
Ga1 Ga 0.000 0.000 0.000
B1 B 0.000 0.000 0.500
B2 B 0.500 0.500 0.500
```

Properties
VASP energy: -16.2 eV per cell


3.
Below is GaB after structural relaxation, with properties calculated at the PBE-GGA level.

```
data_GaB
_cell_length_a 2.609
_cell_length_b 5.587
_cell_length_c 7.368
_cell_angle_alpha 90.00
_cell_angle_beta 96.12
_cell_angle_gamma 90.00
_symmetry_space_group_name_H-M 'C 1 2/m 1'
_symmetry_Int_Tables_number 12
loop_
_symmetry_equiv_pos_as_xyz
'x,y,z'
'-x,-y,-z'
'-x,y,-z'
'x,-y,z'
'x+1/2,y+1/2,z'
'-x+1/2,-y+1/2,-z'
'-x+1/2,y+1/2,-z'
'x+1/2,-y+1/2,z'
loop_
_atom_site_label
_atom_site_type_symbol
_atom_site_fract_x
_atom_site_fract_y
_atom_site_fract_z
Ga1 Ga 0.074 0.000 0.307
B1 B 0.000 0.148 0.000
```

Properties
VASP energy: -36.3 eV per cell
relative energy among the computed polymorphs: 55 meV/atom